The following is a PBE-GGA calculation of a geometry-optimized AcZn2GaPd2 structure, from Alexandria via LeMat-Bulk.

Electronic total energy   -3.553 eV per atom
Size of the total moment   0.0 μB per formula unit
ΔE_f   -0.21 eV/atom
Symmetry   No. 123

```
AcZn2GaPd2
1.0
4.6267 0.0000 0.0000
0.0000 4.6267 0.0000
0.0000 0.0000 5.9498
Ac Zn Ga Pd
1 2 1 2
Direct
0.0000 0.0000 0.0000 Ac
0.0000 0.5000 0.5000 Zn
0.5000 0.0000 0.5000 Zn
0.0000 0.0000 0.5000 Ga
0.5000 0.5000 0.2427 Pd
0.5000 0.5000 0.7573 Pd
```